Material: ScZn2Se
Method: DFT, GGA-PBE
State: relaxed

a b c (Å): 5.2678 5.4343 10.9119
angles (deg): 90.00 90.00 90.00
Fractional positions:
Sc1 0.0000 0.0000 0.0000
Sc2 0.0000 0.5000 0.5000
Sc3 0.5000 0.0000 0.5000
Sc4 0.5000 0.5000 0.0000
Zn1 0.2500 0.0000 0.2500
Zn2 0.2500 0.0000 0.7500
Zn3 0.2500 0.5000 0.2500
Zn4 0.2500 0.5000 0.7500
Zn5 0.7500 0.0000 0.2500
Zn6 0.7500 0.0000 0.7500
Zn7 0.7500 0.5000 0.2500
Zn8 0.7500 0.5000 0.7500
Se1 0.0000 0.0000 0.5000
Se2 0.0000 0.5000 0.0000
Se3 0.5000 0.0000 0.0000
Se4 0.5000 0.5000 0.5000

Properties
The density of states at the Fermi level comes out at 0.55 states/eV/f.u. The calculation puts the volume at 19.5 Å³ per atom. The calculation puts the formation energy (no corrections) at -577 meV per atom.